(1)
## Sb2WBr (GGA-PBE)

Data for Sb2WBr after structural relaxation.

The calculation puts the density of states at the Fermi level at 0.575 states/eV/atom. The calculation puts the total energy at -43.68 eV for the cell shown.

The structure belongs to space group C2/m (No. 12); the cell edges are 6.115, 3.524 and 9.006 Å and the angles 90.00°, 103.13° and 90.00°. The distinct sites, in fractional coordinates, are Sb at (0.239, 0.000, 0.216), W at (0.000, 0.500, 0.000) and Br at (0.000, 0.000, 0.500).

(2)
## Sb2WBr (GGA-PBE)

Data for Sb2WBr after structural relaxation.

The calculation puts the density of states at the Fermi level at 0.752 states/eV/atom. The calculation puts the total energy at -77.23 eV for the cell shown.

The structure belongs to space group F-43m (No. 216); the cell edges are 7.010, 7.010 and 7.010 Å and the angles 90.00°, 90.00° and 90.00°. The distinct sites, in fractional coordinates, are Sb at (0.000, 0.000, 0.000), Sb at (0.250, 0.250, 0.250), W at (0.250, 0.250, 0.750) and Br at (0.000, 0.000, 0.500).

(3)
## SbWBr (GGA-PBE)

Data for SbWBr after structural relaxation.

The calculation puts the density of states at the Fermi level at 0.110 states/eV/atom. The calculation puts the total energy at -17.75 eV for the cell shown.

The structure belongs to space group P3m1 (No. 156); the cell edges are 3.3270, 3.3270 and 7.7323 Å and the angles 90.00°, 90.00° and 120.00°. The distinct sites, in fractional coordinates, are Sb at (0.0000, 0.0000, 0.0000), W at (0.6667, 0.3333, 0.2636) and Br at (0.3333, 0.6667, 0.4972).

(4)
## SbWBr2 (GGA-PBE)

Data for SbWBr2 after structural relaxation.

The calculation puts the density of states at the Fermi level at 0.581 states/eV/atom. The calculation puts the total energy at -38.60 eV for the cell shown.

The structure belongs to space group C2/m (No. 12); the cell edges are 15.864, 3.183 and 4.758 Å and the angles 90.00°, 107.35° and 90.00°. The distinct sites, in fractional coordinates, are Sb at (0.000, 0.000, 0.000), W at (0.000, 0.500, 0.500) and Br at (0.145, 0.000, 0.645).

(5)
## SbWBr2 (GGA-PBE)

Data for SbWBr2 after structural relaxation.

The calculation puts the density of states at the Fermi level at 0.579 states/eV/atom. The calculation puts the total energy at -33.38 eV for the cell shown.

The structure belongs to space group C2/m (No. 12); the cell edges are 6.255, 9.794 and 3.628 Å and the angles 90.00°, 123.33° and 90.00°. The distinct sites, in fractional coordinates, are Sb at (0.000, 0.000, 0.000), W at (0.000, 0.500, 0.000) and Br at (0.250, 0.250, 0.500).

(6)
## SbWBr2 (GGA-PBE)

Data for SbWBr2 after structural relaxation.

The calculation puts the density of states at the Fermi level at 0.740 states/eV/atom. The calculation puts the total energy at -31.24 eV for the cell shown.

The structure belongs to space group Cmmm (No. 65); the cell edges are 6.445, 8.967 and 3.120 Å and the angles 90.00°, 90.00° and 90.00°. The distinct sites, in fractional coordinates, are Sb at (0.000, 0.000, 0.000), W at (0.000, 0.500, 0.000) and Br at (0.250, 0.250, 0.500).

(7)
## SbWBr (GGA-PBE)

Data for SbWBr after structural relaxation.

The calculation puts the density of states at the Fermi level at 0.904 states/eV/atom. The calculation puts the total energy at -68.05 eV for the cell shown.

The structure belongs to space group Fmm2 (No. 42); the cell edges are 3.054, 5.839 and 16.548 Å and the angles 90.00°, 90.00° and 90.00°. The distinct sites, in fractional coordinates, are Sb at (0.000, 0.000, 0.000), W at (0.000, 0.000, 0.644) and Br at (0.000, 0.000, 0.267).

(8)
## SbWBr (GGA-PBE)

Data for SbWBr after structural relaxation.

The calculation puts the density of states at the Fermi level at 0.135 states/eV/atom. The calculation puts the total energy at -65.79 eV for the cell shown.

The structure belongs to space group F-43m (No. 216); the cell edges are 6.655, 6.655 and 6.655 Å and the angles 90.00°, 90.00° and 90.00°. The distinct sites, in fractional coordinates, are Sb at (0.000, 0.000, 0.000), W at (0.250, 0.250, 0.250) and Br at (0.000, 0.000, 0.500).

(9)
## Sb2WBr (GGA-PBE)

Data for Sb2WBr after structural relaxation.

The calculation puts the density of states at the Fermi level at 0.789 states/eV/atom. The calculation puts the total energy at -18.86 eV for the cell shown.

The structure belongs to space group Pmmm (No. 47); the cell edges are 3.287, 5.019 and 5.324 Å and the angles 90.00°, 90.00° and 90.00°. The distinct sites, in fractional coordinates, are Sb at (0.000, 0.000, 0.000), Sb at (0.500, 0.000, 0.500), W at (0.000, 0.500, 0.500) and Br at (0.500, 0.500, 0.000).

(10)
## SbWBr (GGA-PBE)

Data for SbWBr after structural relaxation.

The calculation puts the density of states at the Fermi level at 0.498 states/eV/atom. The calculation puts the total energy at -34.71 eV for the cell shown.

The structure belongs to space group I4mm (No. 107); the cell edges are 3.201, 3.201 and 14.119 Å and the angles 90.00°, 90.00° and 90.00°. The distinct sites, in fractional coordinates, are Sb at (0.000, 0.000, 0.000), W at (0.000, 0.000, 0.627) and Br at (0.000, 0.000, 0.242).

(11)
## Sb2WBr (GGA-PBE)

Data for Sb2WBr after structural relaxation.

The calculation puts the density of states at the Fermi level at 1.019 states/eV/atom. The calculation puts the total energy at -76.04 eV for the cell shown.

The structure belongs to space group Fm-3m (No. 225); the cell edges are 7.098, 7.098 and 7.098 Å and the angles 90.00°, 90.00° and 90.00°. The distinct sites, in fractional coordinates, are Sb at (0.250, 0.250, 0.250), W at (0.000, 0.000, 0.000) and Br at (0.000, 0.000, 0.500).

(12)
## Sb2WBr (GGA-PBE)

Data for Sb2WBr after structural relaxation.

The calculation puts the density of states at the Fermi level at 0.894 states/eV/atom. The calculation puts the total energy at -20.82 eV for the cell shown.

The structure belongs to space group P4mm (No. 99); the cell edges are 3.184, 3.184 and 9.737 Å and the angles 90.00°, 90.00° and 90.00°. The distinct sites, in fractional coordinates, are Sb at (0.000, 0.000, 0.000), Sb at (0.500, 0.500, 0.294), W at (0.000, 0.000, 0.478) and Br at (0.500, 0.500, 0.646).

- The lowest total energy belongs to which entry?
  number 2

- What is the total energy in the twelfth record?
  -20.82 eV for the cell shown